Entry 1:
# PBE-GGA Pr5Tl2Se2, optimized geometry
# Calculated volume in A^3/atom: 30.0
# Total energy in eV per cell: -173.8
# Formation energy (no corrections) in eV/atom: -0.873
data_Pr5Tl2Se2
_symmetry_space_group_name_H-M 'C m c e'
_symmetry_Int_Tables_number 64
_symmetry_space_group_name_Hall '-C 2ac 2'
_cell_length_a 15.7087
_cell_length_b 8.2273
_cell_length_c 8.3534
_cell_angle_alpha 90.00
_cell_angle_beta 90.00
_cell_angle_gamma 90.00
loop_
_atom_site_label
_atom_site_fract_x
_atom_site_fract_y
_atom_site_fract_z
Pr1 0.0000 0.0000 0.0000
Pr2 0.1279 0.1682 0.3365
Tl1 0.2088 0.0000 0.0000
Se1 0.0000 0.1394 0.6443

---

Entry 2:
# PBE-GGA Sr2LiAgH, optimized geometry
# Calculated volume in A^3/atom: 24.5
# Total energy in eV per cell: -12.7
# ΔE to the lowest computed polymorph in meV per atom: 14
data_Sr2LiAgH
_symmetry_space_group_name_H-M 'P 4/m m m'
_symmetry_Int_Tables_number 123
_symmetry_space_group_name_Hall '-P 4 2'
_cell_length_a 5.4466
_cell_length_b 5.4466
_cell_length_c 4.1262
_cell_angle_alpha 90.00
_cell_angle_beta 90.00
_cell_angle_gamma 90.00
loop_
_atom_site_label
_atom_site_fract_x
_atom_site_fract_y
_atom_site_fract_z
Sr1 0.0000 0.5000 0.0000
Li1 0.0000 0.0000 0.5000
Ag1 0.5000 0.5000 0.5000
H1 0.0000 0.0000 0.0000

---

Entry 3:
# PBE-GGA Li4Al3Ag2, optimized geometry
# Calculated volume in A^3/atom: 15.6
# Total energy in eV per cell: -26.2
# ΔH_f (0 K) in eV/atom: -0.181
# ΔE to the lowest computed polymorph in meV per atom: 21
data_Li4Al3Ag2
_symmetry_space_group_name_H-M 'P -1'
_symmetry_Int_Tables_number 2
_symmetry_space_group_name_Hall '-P 1'
_cell_length_a 4.4881
_cell_length_b 5.1935
_cell_length_c 6.8823
_cell_angle_alpha 76.47
_cell_angle_beta 89.32
_cell_angle_gamma 64.59
loop_
_atom_site_label
_atom_site_fract_x
_atom_site_fract_y
_atom_site_fract_z
Li1 0.1130 0.2702 0.1564
Li2 0.3245 0.8521 0.4910
Al1 0.0000 0.5000 0.5000
Al2 0.4474 0.6016 0.1726
Ag1 0.2276 0.0495 0.8280

---

Entry 4:
# PBE-GGA Pr2Cd2Pb, optimized geometry
# Calculated volume in A^3/atom: 31.5
# Total energy in eV per cell: -32.6
# ΔH_f (0 K) in eV/atom: -0.238
data_Pr2Cd2Pb
_symmetry_space_group_name_H-M 'C 1 2/m 1'
_symmetry_Int_Tables_number 12
_symmetry_space_group_name_Hall '-C 2y'
_cell_length_a 10.7884
_cell_length_b 4.6423
_cell_length_c 6.3257
_cell_angle_alpha 90.00
_cell_angle_beta 95.79
_cell_angle_gamma 90.00
loop_
_atom_site_label
_atom_site_fract_x
_atom_site_fract_y
_atom_site_fract_z
Pr1 0.2028 0.0000 0.2178
Cd1 0.0903 0.0000 0.6865
Pb1 0.0000 0.5000 0.0000